Material: Ag2GeAu5
Method: DFT, PBE-GGA
State: relaxed

Energy of formation in meV per atom: 221
Density of states at the Fermi level in states/eV per cell: 11.37
Crystal system: orthorhombic
Energy in eV/cell: -99.77
Offset from the most stable computed form in meV per atom: 220.6

```
data_Ag2GeAu5
_cell_length_a 4.3647
_cell_length_b 17.4104
_cell_length_c 10.3367
_cell_angle_alpha 90.00
_cell_angle_beta 90.00
_cell_angle_gamma 90.00
_symmetry_space_group_name_H-M 'C m c m'
_symmetry_Int_Tables_number 63
_symmetry_space_group_name_Hall '-C 2c 2'
loop_
_atom_site_label
_atom_site_fract_x
_atom_site_fract_y
_atom_site_fract_z
_atom_site_occupancy
Ag1 0.0000 0.1270 0.1060 1
Ge1 0.0000 0.1531 0.7500 1
Au1 0.0000 0.0323 0.6171 1
Au2 0.0000 0.2624 0.5758 1
Au3 0.0000 0.2674 0.2500 1
```

=====

Material: NaPaS3
Method: DFT, PBE-GGA
State: relaxed

Formation energy from raw total energies in kJ per mole of atoms: -133
Crystal system: cubic
Energy in eV/cell: -30.10
Offset from the most stable computed form in meV per atom: 4.5

```
data_NaPaS3
_cell_length_a 5.2336
_cell_length_b 5.2336
_cell_length_c 5.2336
_cell_angle_alpha 90.00
_cell_angle_beta 90.00
_cell_angle_gamma 90.00
_symmetry_space_group_name_H-M 'P m -3 m'
_symmetry_Int_Tables_number 221
_symmetry_space_group_name_Hall '-P 4 2 3'
loop_
_atom_site_label
_atom_site_fract_x
_atom_site_fract_y
_atom_site_fract_z
_atom_site_occupancy
Na1 0.0000 0.0000 0.0000 1
Pa1 0.5000 0.5000 0.5000 1
S1 0.0000 0.5000 0.5000 1
```

=====

Material: Zr2PaGe
Method: DFT, PBE-GGA
State: relaxed

Energy of formation in meV per atom: -321
Density of states at the Fermi level in states/eV per cell: 4.69
Crystal system: tetragonal
Energy in eV/cell: -32.49
Offset from the most stable computed form in meV per atom: 0.0

```
data_Zr2PaGe
_cell_length_a 4.6307
_cell_length_b 4.6307
_cell_length_c 3.9344
_cell_angle_alpha 90.00
_cell_angle_beta 90.00
_cell_angle_gamma 90.00
_symmetry_space_group_name_H-M 'P 4/m m m'
_symmetry_Int_Tables_number 123
_symmetry_space_group_name_Hall '-P 4 2'
loop_
_atom_site_label
_atom_site_fract_x
_atom_site_fract_y
_atom_site_fract_z
_atom_site_occupancy
Zr1 0.0000 0.5000 0.0000 1
Pa1 0.0000 0.0000 0.5000 1
Ge1 0.5000 0.5000 0.5000 1
```